[1]
## Ir2PbAu (PBE-GGA)

Data for a geometry-optimized Ir2PbAu structure.

a b c (Å): 4.818 4.818 3.096
angles (deg): 90.00 90.00 102.85
Element x y z (fractional)
Pb: 0.500 0.000 0.500
Ir: 0.500 0.500 0.000
Ir: 0.000 0.000 0.000
Au: 0.000 0.500 0.500

Results
Total magnetic moment in μB per formula unit: 0.000
Space-group type: Cmmm (65)
Calculated formation energy in eV per atom: 0.51
Total DFT energy (no corrections) in eV per formula unit: -22.7
D(E_F) in states/eV/atom: 0.7668

[2]
## Sm2DyAg5 (PBE-GGA)

Data for a geometry-optimized Sm2DyAg5 structure.

a b c (Å): 5.112 5.112 8.009
angles (deg): 108.61 108.61 90.00
Element x y z (fractional)
Ag: 0.385 0.885 0.770
Ag: 0.615 0.115 0.230
Ag: 0.115 0.615 0.230
Ag: 0.885 0.385 0.770
Ag: 0.500 0.500 0.000
Dy: 0.000 0.000 0.000
Sm: 0.268 0.268 0.536
Sm: 0.732 0.732 0.464

Results
Total magnetic moment in μB per formula unit: 0.000
Space-group type: I4/mmm (139)
Calculated formation energy in eV per atom: -0.22
Total DFT energy (no corrections) in eV per formula unit: -30.0
D(E_F) in states/eV/atom: 0.7281

[3]
## Ac6Ir3I (PBE-GGA)

Data for a geometry-optimized Ac6Ir3I structure.

a b c (Å): 4.367 12.229 15.221
angles (deg): 113.22 90.00 90.00
Element x y z (fractional)
Ac: 0.250 0.450 0.713
Ac: 0.750 0.031 0.278
Ac: 0.750 0.160 0.575
Ac: 0.750 0.254 0.861
Ac: 0.250 0.354 0.424
Ac: 0.250 0.746 0.139
Ac: 0.750 0.136 0.077
Ac: 0.250 0.969 0.722
Ac: 0.750 0.646 0.576
Ac: 0.750 0.550 0.287
Ac: 0.250 0.864 0.923
Ac: 0.250 0.840 0.425
I: 0.250 0.394 0.075
I: 0.750 0.606 0.925
Ir: 0.250 0.602 0.432
Ir: 0.250 0.209 0.719
Ir: 0.750 0.998 0.866
Ir: 0.250 0.002 0.134
Ir: 0.750 0.791 0.281
Ir: 0.750 0.398 0.568

Results
Total magnetic moment in μB per formula unit: 0.000
Space-group type: P2_1/m (11)
Energy relative to the elements, uncorrected in eV per formula unit: -7.13
Total DFT energy (no corrections) in eV per formula unit: -59.9
D(E_F) in states/eV/atom: 0.7115

[4]
## Pr2HoTh2 (PBE-GGA)

Data for a geometry-optimized Pr2HoTh2 structure.

a b c (Å): 3.620 3.620 14.912
angles (deg): 83.03 83.03 60.00
Element x y z (fractional)
Pr: 0.796 0.796 0.611
Pr: 0.204 0.204 0.389
Ho: 0.000 0.000 0.000
Th: 0.602 0.602 0.194
Th: 0.398 0.398 0.806

Results
Total magnetic moment in μB per formula unit: 0.000
Space-group type: R-3m (166)
Calculated formation energy in eV per atom: 0.04
Total DFT energy (no corrections) in eV per formula unit: -28.8
D(E_F) in states/eV/atom: 1.4925

[5]
## NiBiPt (PBE-GGA)

Data for a geometry-optimized NiBiPt structure.

a b c (Å): 5.441 4.452 9.163
angles (deg): 90.00 101.98 90.00
Element x y z (fractional)
Pt: 0.425 0.500 0.939
Pt: 0.013 0.500 0.701
Pt: 0.425 0.000 0.439
Pt: 0.013 0.000 0.201
Ni: 0.470 0.500 0.614
Ni: 0.115 0.500 0.376
Ni: 0.115 0.000 0.876
Ni: 0.470 0.000 0.114
Bi: 0.578 0.000 0.778
Bi: 0.956 0.000 0.522
Bi: 0.956 0.500 0.022
Bi: 0.578 0.500 0.278

Results
Total magnetic moment in μB per formula unit: 0.000
Space-group type: Cm (8)
Offset from the most stable computed form in eV per formula unit: 0.37
Calculated formation energy in eV per atom: 0.01
Total DFT energy (no corrections) in eV per formula unit: -15.7
D(E_F) in states/eV/atom: 0.7319

[6]
## Hf3ZnSe (PBE-GGA)

Data for a geometry-optimized Hf3ZnSe structure.

a b c (Å): 4.901 4.901 4.901
angles (deg): 90.00 90.00 90.00
Element x y z (fractional)
Hf: 0.000 0.500 0.000
Hf: 0.500 0.000 0.000
Hf: 0.000 0.000 0.500
Se: 0.000 0.000 0.000
Zn: 0.500 0.500 0.500

Results
Total magnetic moment in μB per formula unit: 0.000
Space-group type: Pm-3m (221)
Offset from the most stable computed form in eV per formula unit: 0.00
Energy relative to the elements, uncorrected in eV per formula unit: 1.36
Total DFT energy (no corrections) in eV per formula unit: -33.3
D(E_F) in states/eV/atom: 0.4421

[7]
## ScBPbCl2 (PBE-GGA)

Data for a geometry-optimized ScBPbCl2 structure.

a b c (Å): 4.906 4.944 4.906
angles (deg): 90.00 90.00 90.00
Element x y z (fractional)
Cl: 0.500 0.000 0.000
Cl: 0.000 0.000 0.500
Pb: 0.500 0.500 0.500
B: 0.000 0.500 0.000
Sc: 0.000 0.000 0.000

Results
Total magnetic moment in μB per formula unit: 0.000
Space-group type: P4/mmm (123)
Energy relative to the elements, uncorrected in eV per formula unit: -0.77
Total DFT energy (no corrections) in eV per formula unit: -21.2
D(E_F) in states/eV/atom: 0.6517

[8]
## Zr2Ti5NbRh2 (PBE-GGA)

Data for a geometry-optimized Zr2Ti5NbRh2 structure.

a b c (Å): 3.215 10.660 10.660
angles (deg): 90.00 90.00 90.00
Element x y z (fractional)
Nb: 0.000 0.000 0.000
Nb: 0.000 0.500 0.500
Zr: 0.000 0.177 0.323
Zr: 0.000 0.823 0.677
Zr: 0.000 0.323 0.823
Zr: 0.000 0.677 0.177
Ti: 0.500 0.000 0.500
Ti: 0.500 0.700 0.444
Ti: 0.500 0.300 0.556
Ti: 0.500 0.800 0.944
Ti: 0.500 0.200 0.056
Ti: 0.500 0.556 0.700
Ti: 0.500 0.056 0.800
Ti: 0.500 0.444 0.300
Ti: 0.500 0.500 0.000
Ti: 0.500 0.944 0.200
Rh: 0.000 0.372 0.128
Rh: 0.000 0.628 0.872
Rh: 0.000 0.872 0.372
Rh: 0.000 0.128 0.628

Results
Total magnetic moment in μB per formula unit: 0.000
Space-group type: P4/mbm (127)
Calculated formation energy in eV per atom: -0.26
Total DFT energy (no corrections) in eV per formula unit: -84.0
D(E_F) in states/eV/atom: 1.4876

[9]
## BaLiCa2In4 (PBE-GGA)

Data for a geometry-optimized BaLiCa2In4 structure.

a b c (Å): 5.362 5.362 10.326
angles (deg): 74.95 74.95 60.00
Element x y z (fractional)
In: 0.125 0.125 0.624
In: 0.875 0.875 0.376
In: 0.601 0.601 0.197
In: 0.399 0.399 0.803
Ba: 0.000 0.000 0.000
Ca: 0.762 0.762 0.713
Ca: 0.238 0.238 0.287
Li: 0.500 0.500 0.500

Results
Total magnetic moment in μB per formula unit: 0.000
Space-group type: R-3m (166)
Calculated formation energy in eV per atom: -0.34
Total DFT energy (no corrections) in eV per formula unit: -21.5
D(E_F) in states/eV/atom: 0.7611

[10]
## ScNi2W (PBE-GGA)

Data for a geometry-optimized ScNi2W structure.

a b c (Å): 3.913 3.913 8.880
angles (deg): 77.27 77.27 90.00
Element x y z (fractional)
Ni: 0.375 0.347 0.750
Ni: 0.875 0.903 0.750
Ni: 0.653 0.125 0.250
Ni: 0.097 0.625 0.250
Sc: 0.250 0.750 0.500
Sc: 0.500 0.500 0.000
W: 0.750 0.250 0.500
W: 0.000 0.000 0.000

Results
Total magnetic moment in μB per formula unit: 0.000
Space-group type: I-42d (122)
Offset from the most stable computed form in eV per formula unit: 2.79
Calculated formation energy in eV per atom: 0.58
Total DFT energy (no corrections) in eV per formula unit: -28.5
D(E_F) in states/eV/atom: 1.0241

[11]
## Ac3CuC2N6 (PBE-GGA)

Data for a geometry-optimized Ac3CuC2N6 structure.

a b c (Å): 5.562 5.562 6.620
angles (deg): 90.00 90.00 120.00
Element x y z (fractional)
Ac: 0.000 0.000 0.000
Ac: 0.333 0.667 0.666
Ac: 0.667 0.333 0.334
N: 0.190 0.380 0.270
N: 0.380 0.190 0.730
N: 0.810 0.620 0.730
N: 0.810 0.190 0.730
N: 0.190 0.810 0.270
N: 0.620 0.810 0.270
C: 0.667 0.333 0.739
C: 0.333 0.667 0.261
Cu: 0.000 0.000 0.500

Results
Total magnetic moment in μB per formula unit: 0.000
Space-group type: P-3m1 (164)
Energy relative to the elements, uncorrected in eV per formula unit: -6.57
Total DFT energy (no corrections) in eV per formula unit: -91.4
D(E_F) in states/eV/atom: 0.0011

[12]
## Tm6PtAu5 (PBE-GGA)

Data for a geometry-optimized Tm6PtAu5 structure.

a b c (Å): 4.992 7.056 7.921
angles (deg): 90.00 71.78 90.00
Element x y z (fractional)
Au: 0.333 0.500 0.334
Au: 0.667 0.500 0.666
Au: 0.330 0.000 0.340
Au: 0.000 0.500 0.000
Au: 0.670 0.000 0.660
Tm: 0.837 0.248 0.327
Tm: 0.163 0.752 0.673
Tm: 0.500 0.244 0.000
Tm: 0.163 0.248 0.673
Tm: 0.500 0.756 0.000
Tm: 0.837 0.752 0.327
Pt: 0.000 0.000 0.000

Results
Total magnetic moment in μB per formula unit: 0.000
Space-group type: P2/m (10)
Calculated formation energy in eV per atom: -0.96
Total DFT energy (no corrections) in eV per formula unit: -60.8
D(E_F) in states/eV/atom: 0.3741

[13]
## Y2InFeC (PBE-GGA)

Data for a geometry-optimized Y2InFeC structure.

a b c (Å): 5.080 5.080 3.734
angles (deg): 90.00 90.00 90.00
Element x y z (fractional)
C: 0.000 0.000 0.000
Fe: 0.000 0.000 0.500
Y: 0.000 0.500 0.000
Y: 0.500 0.000 0.000
In: 0.500 0.500 0.500

Results
Total magnetic moment in μB per formula unit: 0.510
Space-group type: P4/mmm (123)
Calculated formation energy in eV per atom: -0.34
Total DFT energy (no corrections) in eV per formula unit: -35.1
D(E_F) in states/eV/atom: 0.4957

[14]
## Ag2SeO (PBE-GGA)

Data for a geometry-optimized Ag2SeO structure.

a b c (Å): 4.530 4.530 4.530
angles (deg): 60.00 60.00 60.00
Element x y z (fractional)
Se: 0.500 0.500 0.500
Ag: 0.750 0.750 0.750
Ag: 0.250 0.250 0.250
O: 0.000 0.000 0.000

Results
Total magnetic moment in μB per formula unit: 2.000
Space-group type: Fm-3m (225)
Offset from the most stable computed form in eV per formula unit: 0.60
Energy relative to the elements, uncorrected in eV per formula unit: 1.19
Total DFT energy (no corrections) in eV per formula unit: -13.0
D(E_F) in states/eV/atom: 0.3428

[15]
## Sr3V5Se12 (PBE-GGA)

Data for a geometry-optimized Sr3V5Se12 structure.

a b c (Å): 13.937 13.937 13.937
angles (deg): 109.47 109.47 109.47
Element x y z (fractional)
Se: 0.906 0.816 0.516
Se: 0.316 0.516 0.406
Se: 0.410 0.110 0.594
Se: 0.890 0.590 0.906
Se: 0.516 0.200 0.110
Se: 0.910 0.816 0.800
Se: 0.300 0.890 0.984
Se: 0.816 0.906 0.016
Se: 0.184 0.094 0.984
Se: 0.590 0.700 0.684
Se: 0.984 0.594 0.184
Se: 0.594 0.610 0.410
Se: 0.594 0.984 0.684
Se: 0.610 0.594 0.910
Se: 0.390 0.406 0.090
Se: 0.090 0.906 0.390
Se: 0.590 0.890 0.406
Se: 0.090 0.184 0.200
Se: 0.800 0.484 0.390
Se: 0.200 0.684 0.090
Se: 0.390 0.984 0.800
Se: 0.700 0.110 0.016
Se: 0.816 0.910 0.300
Se: 0.910 0.094 0.610
Se: 0.890 0.300 0.484
Se: 0.300 0.410 0.816
Se: 0.406 0.390 0.590
Se: 0.094 0.184 0.484
Se: 0.016 0.406 0.816
Se: 0.200 0.516 0.610
Se: 0.610 0.016 0.200
Se: 0.406 0.016 0.316
Se: 0.016 0.610 0.700
Se: 0.984 0.390 0.300
Se: 0.184 0.090 0.700
Se: 0.094 0.910 0.110
Se: 0.484 0.800 0.890
Se: 0.110 0.700 0.516
Se: 0.684 0.484 0.594
Se: 0.316 0.800 0.410
Se: 0.110 0.410 0.094
Se: 0.700 0.590 0.184
Se: 0.800 0.316 0.910
Se: 0.906 0.090 0.890
Se: 0.684 0.200 0.590
Se: 0.516 0.316 0.906
Se: 0.410 0.300 0.316
Se: 0.484 0.684 0.094
V: 0.125 0.750 0.375
V: 0.875 0.625 0.750
V: 0.500 0.000 0.000
V: 0.000 0.500 0.000
V: 0.500 0.500 0.500
V: 0.625 0.750 0.875
V: 0.250 0.875 0.125
V: 0.625 0.875 0.250
V: 0.750 0.625 0.375
V: 0.875 0.250 0.625
V: 0.250 0.375 0.625
V: 0.125 0.375 0.250
V: 0.750 0.125 0.875
V: 0.000 0.500 0.500
V: 0.000 0.000 0.500
V: 0.500 0.500 0.000
V: 0.500 0.000 0.500
V: 0.000 0.000 0.000
V: 0.375 0.125 0.750
V: 0.375 0.250 0.125
Sr: 0.875 0.125 0.250
Sr: 0.125 0.250 0.875
Sr: 0.250 0.625 0.875
Sr: 0.250 0.125 0.375
Sr: 0.125 0.875 0.750
Sr: 0.625 0.250 0.375
Sr: 0.625 0.375 0.750
Sr: 0.375 0.750 0.625
Sr: 0.750 0.375 0.125
Sr: 0.875 0.750 0.125
Sr: 0.375 0.625 0.250
Sr: 0.750 0.875 0.625

Results
Total magnetic moment in μB per formula unit: 7.000
Space-group type: Ia-3d (230)
Energy relative to the elements, uncorrected in eV per formula unit: -19.50
Total DFT energy (no corrections) in eV per formula unit: -112.0
D(E_F) in states/eV/atom: 0.6525

[16]
## AcMgAg2S4 (PBE-GGA)

Data for a geometry-optimized AcMgAg2S4 structure.

a b c (Å): 6.928 6.194 6.194
angles (deg): 68.22 55.99 55.99
Element x y z (fractional)
S: 0.513 0.487 0.896
S: 0.487 0.104 0.513
S: 0.896 0.513 0.104
S: 0.104 0.896 0.487
Mg: 0.500 0.500 0.500
Ag: 0.755 0.745 0.745
Ag: 0.245 0.255 0.255
Ac: 0.000 0.000 0.000

Results
Total magnetic moment in μB per formula unit: 0.000
Space-group type: I222 (23)
Energy relative to the elements, uncorrected in eV per formula unit: -8.08
Total DFT energy (no corrections) in eV per formula unit: -36.0
D(E_F) in states/eV/atom: 0.4017